(1)
A plane-wave DFT calculation with meta-GGA SCAN was carried out for a crystal of Sc3TaTl relaxed with PBEsol.

Summary:
* E_form: 0.597 eV/atom
* mass density: 6.63 g cm⁻³

Cell: 5.0696 5.0696 5.0696 Å, 90.00 90.00 90.00°
Closest atoms and distances in Å follow each position.
Element x y z (fractional)
1 Sc 0.0000 0.0000 0.5000  2 Ta 2.53
2 Sc 0.0000 0.5000 0.0000  2 Ta 2.53
3 Sc 0.5000 0.0000 0.0000  2 Ta 2.53
4 Ta 0.0000 0.0000 0.0000  6 Sc 2.53
5 Tl 0.5000 0.5000 0.5000  12 Sc 3.58

---

(2)
A plane-wave DFT calculation with meta-GGA SCAN was carried out for a crystal of LiBSe2 relaxed with PBEsol.

Summary:
* mass density: 4.18 g cm⁻³
* E_form (uncorrected): -0.67 eV/atom

Cell: 5.6827 5.9001 5.6827 Å, 61.21 90.00 118.79°
Closest atoms and distances in Å follow each position.
Element x y z (fractional)
1 Li 0.2500 0.5000 0.2500  4 Se 2.53
2 Li 0.5000 0.0000 0.5000  4 Se 2.53
3 B 0.0000 0.0000 0.0000  4 Se 2.07
4 B 0.7500 0.5000 0.7500  4 Se 2.07
5 Se 0.8750 0.2500 0.6915  2 B 2.07
6 Se 0.0585 0.7500 0.8750  2 B 2.07
7 Se 0.3750 0.2500 0.0585  2 B 2.07
8 Se 0.6915 0.7500 0.3750  2 B 2.07

---

(3)
A plane-wave DFT calculation with meta-GGA SCAN was carried out for a crystal of CaTlH2 relaxed with PBEsol.

Summary:
* energy: -22.321 eV/atom
* mass density: 5.84 g cm⁻³

Cell: 4.9225 4.9225 6.7521 Å, 111.38 111.38 90.00°
Closest atoms and distances in Å follow each position.
Element x y z (fractional)
1 Ca 0.5000 0.5000 0.0000  4 H 2.14
2 Ca 0.7500 0.2500 0.5000  4 H 2.14
3 H 0.1250 0.1765 0.7500  2 Ca 2.14
4 H 0.4265 0.8750 0.2500  2 Ca 2.14
5 H 0.6250 0.5735 0.7500  2 Ca 2.14
6 H 0.8235 0.3750 0.2500  2 Ca 2.14
7 Tl 0.0000 0.0000 0.0000  4 H 2.41
8 Tl 0.2500 0.7500 0.5000  4 H 2.41

---

(4)
A plane-wave DFT calculation with meta-GGA SCAN was carried out for a crystal of BaNi2Ir relaxed with PBEsol.

Summary:
* E_form: 0.420 eV/atom
* mass density: 10.65 g cm⁻³

Cell: 2.9593 3.3649 6.9972 Å, 90.00 90.00 90.00°
Closest atoms and distances in Å follow each position.
Element x y z (fractional)
1 Ni 0.0000 0.0000 0.6673  1 Ni 2.34, 4 Ir 2.53
2 Ni 0.0000 0.0000 0.3327  1 Ni 2.34, 4 Ir 2.53
3 Ba 0.5000 0.5000 0.0000  2 Ba 2.96, 8 Ni 3.23
4 Ir 0.5000 0.5000 0.5000  8 Ni 2.53

---

(5)
A plane-wave DFT calculation with meta-GGA SCAN was carried out for a crystal of TlIn2Co relaxed with PBEsol.

Summary:
* E_form: 0.503 eV/atom
* mass density: 9.99 g cm⁻³

Cell: 4.8750 4.8750 4.8750 Å, 60.00 60.00 60.00°
Closest atoms and distances in Å follow each position.
Element x y z (fractional)
1 Tl 0.7500 0.7500 0.7500  4 Co 2.99, 4 In 2.99
2 In 0.2500 0.2500 0.2500  4 In 2.99, 4 Co 2.99
3 In 0.0000 0.0000 0.0000  4 In 2.99, 4 Tl 2.99
4 Co 0.5000 0.5000 0.5000  4 Tl 2.99, 4 In 2.99

---

(6)
A plane-wave DFT calculation with meta-GGA SCAN was carried out for a crystal of BaLi2Ag relaxed with PBEsol.

Summary:
* E_form: -0.071 eV/atom
* mass density: 4.12 g cm⁻³

Cell: 3.7223 3.7223 7.5350 Å, 90.00 90.00 90.00°
Closest atoms and distances in Å follow each position.
Element x y z (fractional)
1 Ag 0.0000 0.0000 0.4289  5 Li 2.62-2.88
2 Li 0.5000 0.5000 0.2743  4 Ag 2.88, 4 Li 3.01
3 Li 0.0000 0.0000 0.0807  1 Ag 2.62
4 Ba 0.5000 0.5000 0.7161  1 Li 3.33, 4 Ag 3.41, 4 Ba 3.72

---

(7)
A plane-wave DFT calculation with meta-GGA SCAN was carried out for a crystal of CdPdN3 relaxed with PBEsol.

Summary:
* mass density: 6.24 g cm⁻³
* E_form (uncorrected): 2.57 eV/atom

Cell: 4.1105 4.1105 4.1105 Å, 90.00 90.00 90.00°
Closest atoms and distances in Å follow each position.
Element x y z (fractional)
1 N 0.5000 0.0000 0.0000  2 Cd 2.06
2 N 0.0000 0.5000 0.0000  2 Cd 2.06
3 N 0.0000 0.0000 0.5000  2 Cd 2.06
4 Pd 0.5000 0.5000 0.5000  12 N 2.91
5 Cd 0.0000 0.0000 0.0000  6 N 2.06

---

(8)
A plane-wave DFT calculation with meta-GGA SCAN was carried out for a crystal of KHgRh relaxed with PBEsol.

Summary:
* E_form: 0.522 eV/atom
* mass density: 7.82 g cm⁻³

Cell: 4.6850 4.6850 4.6850 Å, 60.00 60.00 60.00°
Closest atoms and distances in Å follow each position.
Element x y z (fractional)
1 Hg 0.0000 0.0000 0.0000  4 Rh 2.87
2 K 0.5000 0.5000 0.5000  4 Rh 2.87
3 Rh 0.2500 0.2500 0.2500  4 K 2.87, 4 Hg 2.87